Record 1
Computed, not measured: an optimized crystal structure of TaAlTc2 at the GGA-PBEsol level of DFT.

Its total magnetic moment is 0.0 μB/f.u. The formation energy is -0.356 eV per atom.

The space group is Imm2 (No. 44) and the conventional cell measures 3.117, 4.255 and 8.914 Å, with angles of 90.00, 90.00 and 90.00 degrees. The distinct sites, in fractional coordinates, are Ta at (0.000, 0.000, 0.000), Al at (0.000, 0.500, 0.766), Tc at (0.000, 0.000, 0.514) and Tc at (0.000, 0.500, 0.254).

---

Record 2
Computed, not measured: an optimized crystal structure of TaAlTc at the GGA-PBEsol level of DFT.

The energy above the most stable polymorph in this dataset comes out at 0.3553 eV per atom. Its total magnetic moment is 0.0 μB/f.u. The formation energy is 0.032 eV per atom.

The space group is P3m1 (No. 156) and the conventional cell measures 2.8418, 2.8418 and 6.7213 Å, with angles of 90.00, 90.00 and 120.00 degrees. The distinct sites, in fractional coordinates, are Ta at (0.0000, 0.0000, 0.0000), Al at (0.6667, 0.3333, 0.3531) and Tc at (0.3333, 0.6667, 0.6640).